Below is VBiNF2 after structural relaxation, with properties calculated at the PBE with a Hubbard U level.

As for the total energy: -5.68 eV/atom. The energy above the lowest structure with this stoichiometry comes out at 0.000 eV per atom. Its space-group type is P4/mmm (123). For the total magnetization, the calculation gives 2.27 μB per cell.

Unit cell a=4.093 b=4.093 c=4.108 alpha=90.00 beta=90.00 gamma=90.00
Each line ends with the local moment (μB).
Fractional coordinates of all 5 atoms:
N 0.000 0.000 0.500  -0.20
F 0.000 0.500 0.000  0.03
F 0.500 0.000 0.000  0.03
Bi 0.500 0.500 0.500  0.11
V 0.000 0.000 0.000  2.16